{"formula": "AlIrPb", "functional": "PBE", "state": "optimized geometry", "cell": [[-1.238, 0.135, 3.033], [0.963, -2.873, -1.251], [5.873, 0.943, 2.356]], "species": ["Pb", "Al", "Ir"], "fractional_positions": [[0.667, 0.333, 0.649], [0.000, 0.000, 0.050], [0.333, 0.667, 0.302]], "e_form_ev_per_atom": 0.0601}

---

{"formula": "AlIrPb2", "functional": "PBE", "state": "optimized geometry", "cell": [[9.816, 0.089, 0.052], [9.228, 3.350, 0.052], [9.228, 1.666, 2.906]], "species": ["Al", "Ir", "Pb", "Pb"], "fractional_positions": [[0.250, 0.250, 0.250], [0.750, 0.750, 0.750], [0.009, 0.009, 0.009], [0.491, 0.491, 0.491]], "e_form_ev_per_atom": 0.4220}

---

So what do the calculations give for Fermi-level density of states? Going down the list: 0.54, 0.36 states/eV per atom.